This record from the Alexandria database describes Ba3Ce2O7 after structural relaxation. The functional is PBE-GGA.

```
12
Lattice="2.267 -11.590 0.000 2.267 11.590 0.000 0.000 0.000 4.383" Properties=species:S:1:pos:R:3 pbc="T T T"
Ba 0.000 0.000 0.000
Ba 2.267 7.416 0.000
Ba 2.267 -7.416 0.000
Ce 2.267 2.278 2.191
Ce 2.267 -2.278 2.191
O 2.267 9.346 2.191
O 2.267 4.452 2.191
O 2.267 2.289 0.000
O 2.267 0.000 2.191
O 2.267 -2.289 0.000
O 2.267 -4.452 2.191
O 2.267 -9.346 2.191
```

## Properties
Space-group type   Cmmm (65)
Calculated total energy   -7.2736 eV per atom
Formation energy from raw total energies   -2.9116 eV/atom

This record from the Alexandria database describes Ba5CeO8 after structural relaxation. The functional is PBE-GGA.

```
14
Lattice="-3.972 3.972 4.026 3.972 -3.972 4.026 3.972 3.972 -4.026" Properties=species:S:1:pos:R:3 pbc="T T T"
Ba 0.000 0.000 0.000
Ba 2.046 2.997 -1.035
Ba 4.947 2.046 1.035
Ba 1.926 0.975 2.991
Ba -0.975 1.926 5.061
Ce 0.000 3.972 2.013
O 4.571 2.280 -1.681
O 2.804 0.445 0.203
O 3.527 -1.168 3.823
O -0.599 1.692 2.345
O 0.445 5.140 -0.203
O 2.280 3.373 1.681
O 1.692 0.599 5.707
O 1.168 3.527 4.230
```

## Properties
Space-group type   I-4 (82)
Calculated total energy   -6.3551 eV per atom
Formation energy from raw total energies   -2.4113 eV/atom

This record from the Alexandria database describes BaCeO4 after structural relaxation. The functional is PBE-GGA.

```
6
Lattice="3.943 0.000 0.000 0.000 3.943 0.000 0.000 0.000 6.380" Properties=species:S:1:pos:R:3 pbc="T T T"
Ba 0.000 0.000 0.000
Ce 1.972 1.972 3.190
O 0.000 1.972 1.850
O 0.000 1.972 4.530
O 1.972 0.000 1.850
O 1.972 0.000 4.530
```

## Properties
Space-group type   P4/mmm (123)
Calculated total energy   -6.9201 eV per atom
Formation energy from raw total energies   -2.3052 eV/atom

This record from the Alexandria database describes Ba2CeO after structural relaxation. The functional is PBE-GGA.

```
4
Lattice="1.905 1.100 10.732 -1.905 1.100 10.732 0.000 -2.200 10.732" Properties=species:S:1:pos:R:3 pbc="T T T"
Ba 0.000 0.000 3.768
Ba 0.000 0.000 28.429
Ce 0.000 0.000 0.000
O 0.000 0.000 16.098
```

## Properties
Space-group type   R-3m (166)
Calculated total energy   -4.5624 eV per atom
Formation energy from raw total energies   -0.8780 eV/atom

This record from the Alexandria database describes BaCeO2 after structural relaxation. The functional is PBE-GGA.

```
4
Lattice="1.824 1.053 6.604 -1.824 1.053 6.604 0.000 -2.106 6.604" Properties=species:S:1:pos:R:3 pbc="T T T"
Ba 0.000 0.000 0.000
Ce 0.000 0.000 16.315
O 0.000 0.000 4.357
O 0.000 0.000 8.465
```

## Properties
Space-group type   R3m (160)
Calculated total energy   -6.9663 eV per atom
Formation energy from raw total energies   -2.5230 eV/atom
Energy above the most stable polymorph in this dataset   130.5 meV per atom

This record from the Alexandria database describes Ba3Ce2O8 after structural relaxation. The functional is PBE-GGA.

```
13
Lattice="3.291 1.900 7.175 -3.291 1.900 7.175 0.000 -3.800 7.175" Properties=species:S:1:pos:R:3 pbc="T T T"
Ba 0.000 0.000 0.000
Ba 0.000 0.000 4.155
Ba 0.000 0.000 17.370
Ce 0.000 0.000 8.745
Ce 0.000 0.000 12.780
O -1.735 -1.002 12.170
O 0.000 -2.004 9.355
O -1.735 1.002 9.355
O 0.000 0.000 6.707
O 0.000 0.000 14.818
O 1.735 -1.002 12.170
O 0.000 2.004 12.170
O 1.735 1.002 9.355
```

## Properties
Space-group type   R-3m (166)
Calculated total energy   -6.9243 eV per atom
Formation energy from raw total energies   -2.5165 eV/atom

This record from the Alexandria database describes Ba3Ce2O6 after structural relaxation. The functional is PBE-GGA.

```
11
Lattice="-2.270 2.270 10.991 2.270 -2.270 10.991 2.270 2.270 -10.991" Properties=species:S:1:pos:R:3 pbc="T T T"
Ba 0.000 0.000 0.000
Ba 0.000 0.000 4.041
Ba 0.000 0.000 17.940
Ce 0.000 0.000 8.784
Ce 0.000 0.000 13.197
O 2.270 0.000 1.941
O 0.000 0.000 6.577
O 2.270 0.000 9.050
O 0.000 2.270 1.941
O 0.000 0.000 15.404
O 0.000 2.270 9.050
```

## Properties
Space-group type   I4/mmm (139)
Calculated total energy   -7.1590 eV per atom
Formation energy from raw total energies   -2.8512 eV/atom

This record from the Alexandria database describes BaCe2OsO8 after structural relaxation. The functional is PBE-GGA.

```
12
Lattice="5.159 0.000 0.000 0.000 7.231 0.000 -0.216 0.000 5.165" Properties=species:S:1:pos:R:3 pbc="T T T"
Ba 0.000 0.000 0.000
Ce 2.472 1.821 2.583
Ce 2.472 5.410 2.583
Os 0.000 3.616 0.000
O 0.977 2.262 0.980
O 0.977 4.970 0.980
O 1.177 3.616 3.794
O 1.536 0.000 3.373
O 3.407 0.000 1.792
O 3.766 3.616 1.371
O 3.966 2.262 4.185
O 3.966 4.970 4.185
```

## Properties
Space-group type   P2/m (10)
Calculated total energy   -7.7713 eV per atom
Formation energy from raw total energies   -2.3808 eV/atom

This record from the Alexandria database describes Ba3CePa2O9 after structural relaxation. The functional is PBE-GGA.

```
15
Lattice="6.381 0.000 0.000 -3.191 5.526 0.000 0.000 0.000 7.812" Properties=species:S:1:pos:R:3 pbc="T T T"
Ba 0.000 0.000 0.000
Ba 0.000 3.684 5.121
Ba 3.191 1.842 2.692
Ce 0.000 0.000 3.906
Pa 0.000 3.684 1.289
Pa 3.191 1.842 6.523
O -1.595 2.763 0.000
O 0.000 1.898 2.570
O -1.547 4.577 2.570
O 1.644 0.949 5.242
O 3.191 0.000 0.000
O 1.595 2.763 0.000
O 1.547 4.577 2.570
O 4.738 0.949 5.242
O 3.191 3.628 5.242
```

## Properties
Space-group type   P-3m1 (164)
Calculated total energy   -8.2236 eV per atom
Formation energy from raw total energies   -3.2024 eV/atom

This record from the Alexandria database describes BaCePa2O8 after structural relaxation. The functional is PBE-GGA.

```
12
Lattice="-2.811 2.811 5.494 2.811 -2.811 5.494 2.811 2.811 -5.494" Properties=species:S:1:pos:R:3 pbc="T T T"
Ba 0.000 0.000 0.000
Ce 2.811 0.000 2.747
Pa 0.000 0.000 5.494
Pa 0.000 2.811 2.747
O 1.616 1.389 -1.485
O 1.329 -1.203 4.090
O 1.608 1.482 1.404
O 1.422 -1.195 6.979
O 1.482 4.014 -1.404
O 1.195 1.422 4.009
O 1.389 4.006 1.485
O 1.203 1.329 6.898
```

## Properties
Space-group type   I-4 (82)
Calculated total energy   -8.9555 eV per atom
Formation energy from raw total energies   -3.4127 eV/atom

This record from the Alexandria database describes Ba3CePb2O9 after structural relaxation. The functional is PBE-GGA.

```
15
Lattice="6.197 0.000 0.000 -3.099 5.367 0.000 0.000 0.000 7.623" Properties=species:S:1:pos:R:3 pbc="T T T"
Ba 0.000 0.000 0.000
Ba 0.000 3.578 5.201
Ba 3.099 1.789 2.422
Ce 0.000 0.000 3.812
Pb 0.000 3.578 1.278
Pb 3.099 1.789 6.346
O -1.549 2.683 0.000
O 0.000 1.789 2.509
O -1.549 4.472 2.509
O 1.549 0.894 5.115
O 3.099 0.000 0.000
O 1.549 2.683 0.000
O 1.549 4.472 2.509
O 4.648 0.894 5.115
O 3.099 3.578 5.115
```

## Properties
Space-group type   P-3m1 (164)
Calculated total energy   -6.4340 eV per atom
Formation energy from raw total energies   -2.1845 eV/atom

This record from the Alexandria database describes Ba3CePd2O9 after structural relaxation. The functional is PBE-GGA.

```
15
Lattice="5.917 0.000 0.000 -2.959 5.124 0.000 0.000 0.000 7.348" Properties=species:S:1:pos:R:3 pbc="T T T"
Ba 0.000 0.000 0.000
Ba 0.000 3.416 5.117
Ba 2.959 1.708 2.231
Ce 0.000 0.000 3.674
Pd 0.000 3.416 1.213
Pd 2.959 1.708 6.135
O -1.479 2.562 0.000
O 0.000 1.777 2.378
O -1.419 4.236 2.378
O 1.539 0.889 4.970
O 2.959 0.000 0.000
O 1.479 2.562 0.000
O 1.419 4.236 2.378
O 4.378 0.889 4.970
O 2.959 3.347 4.970
```

## Properties
Space-group type   P-3m1 (164)
Calculated total energy   -6.3968 eV per atom
Formation energy from raw total energies   -1.9493 eV/atom